1.
## DyY4 (PBE-GGA)

Data for a relaxed structure of DyY4.

a b c (Å): 5.6438 5.6438 5.6438
angles (deg): 90.00 90.00 90.00
Closest atoms and distances in Å follow each position.
Positions (direct):
Dy (0.0000, 0.0000, 0.0000)  6 Y 2.82
Y (0.0000, 0.0000, 0.5000)  2 Dy 2.82
Y (0.0000, 0.5000, 0.0000)  2 Dy 2.82
Y (0.5000, 0.0000, 0.0000)  2 Dy 2.82
Y (0.5000, 0.5000, 0.5000)  12 Y 3.99

Size of the total moment ... 0.40 μB per cell
VASP energy ... -27.0 eV/f.u.
SG ... No. 221



2.
## Dy3HoC2 (PBE-GGA)

Data for a relaxed structure of Dy3HoC2.

a b c (Å): 7.1291 7.1291 6.2628
angles (deg): 90.00 90.00 120.00
Closest atoms and distances in Å follow each position.
Positions (direct):
Dy (0.1666, 0.3332, 0.2163)  3 C 2.46
Dy (0.1666, 0.8334, 0.2163)  3 C 2.46
Dy (0.3332, 0.1666, 0.7837)  3 C 2.46
Dy (0.6668, 0.8334, 0.2163)  3 C 2.46
Dy (0.8334, 0.1666, 0.7837)  3 C 2.46
Dy (0.8334, 0.6668, 0.7837)  3 C 2.46
Ho (0.3333, 0.6667, 0.7867)  3 C 2.45
Ho (0.6667, 0.3333, 0.2133)  3 C 2.45
C (0.0000, 0.0000, 0.0000)  6 Dy 2.46
C (0.0000, 0.5000, 0.0000)  2 Ho 2.45, 4 Dy 2.46
C (0.5000, 0.0000, 0.0000)  2 Ho 2.45, 4 Dy 2.46
C (0.5000, 0.5000, 0.0000)  2 Ho 2.45, 4 Dy 2.46

Size of the total moment ... 0.67 μB per cell
VASP energy ... -38.4 eV/f.u.
SG ... No. 164



3.
## CrCd (PBE-GGA)

Data for a relaxed structure of CrCd.

a b c (Å): 9.8687 9.8687 2.9517
angles (deg): 90.00 90.00 90.00
Closest atoms and distances in Å follow each position.
Positions (direct):
Cr (0.6391, 0.9749, 0.5000)  4 Cr 2.46-2.47
Cd (0.8599, 0.8372, 0.0000)  5 Cr 2.94-3.08, 6 Cd 2.95-3.14
Cr (0.8609, 0.5253, 0.0000)  4 Cr 2.46-2.47
Cd (0.3371, 0.6399, 0.5000)  5 Cr 2.94-3.08, 6 Cd 2.95-3.14
Cd (0.3601, 0.3371, 0.5000)  5 Cr 2.94-3.08, 6 Cd 2.95-3.14
Cr (0.0251, 0.6391, 0.5000)  4 Cr 2.46-2.47
Cd (0.6629, 0.3601, 0.5000)  5 Cr 2.94-3.08, 6 Cd 2.95-3.14
Cr (0.3609, 0.0251, 0.5000)  4 Cr 2.46-2.47
Cd (0.8372, 0.1401, 0.0000)  5 Cr 2.94-3.08, 6 Cd 2.95-3.14
Cd (0.6399, 0.6629, 0.5000)  5 Cr 2.94-3.08, 6 Cd 2.95-3.14
Cr (0.9749, 0.3609, 0.5000)  4 Cr 2.46-2.47
Cd (0.1401, 0.1628, 0.0000)  5 Cr 2.94-3.08, 6 Cd 2.95-3.14
Cr (0.1391, 0.4747, 0.0000)  4 Cr 2.46-2.47
Cr (0.4747, 0.8609, 0.0000)  4 Cr 2.46-2.47
Cr (0.5253, 0.1391, 0.0000)  4 Cr 2.46-2.47
Cd (0.1628, 0.8599, 0.0000)  5 Cr 2.94-3.08, 6 Cd 2.95-3.14

Size of the total moment ... 0.00 μB per cell
VASP energy ... -10.0 eV/f.u.



4.
## Tb5Ir3 (PBE-GGA)

Data for a relaxed structure of Tb5Ir3.

a b c (Å): 8.3537 8.3537 6.2733
angles (deg): 90.00 90.00 120.00
Closest atoms and distances in Å follow each position.
Positions (direct):
Tb (0.0000, 0.2604, 0.2500)  3 Ir 2.87-2.93
Tb (0.0000, 0.7396, 0.7500)  3 Ir 2.87-2.93
Tb (0.2604, 0.0000, 0.2500)  3 Ir 2.87-2.93
Tb (0.2604, 0.2604, 0.7500)  3 Ir 2.87-2.93
Tb (0.3333, 0.6667, 0.0000)  6 Ir 3.02, 2 Tb 3.14
Tb (0.3333, 0.6667, 0.5000)  6 Ir 3.02, 2 Tb 3.14
Tb (0.6667, 0.3333, 0.0000)  6 Ir 3.02, 2 Tb 3.14
Tb (0.6667, 0.3333, 0.5000)  6 Ir 3.02, 2 Tb 3.14
Tb (0.7396, 0.0000, 0.7500)  3 Ir 2.87-2.93
Tb (0.7396, 0.7396, 0.2500)  3 Ir 2.87-2.93
Ir (0.0000, 0.3892, 0.7500)  7 Tb 2.87-3.02
Ir (0.0000, 0.6108, 0.2500)  7 Tb 2.87-3.02
Ir (0.3892, 0.0000, 0.7500)  7 Tb 2.87-3.02
Ir (0.3892, 0.3892, 0.2500)  7 Tb 2.87-3.02
Ir (0.6108, 0.0000, 0.2500)  7 Tb 2.87-3.02
Ir (0.6108, 0.6108, 0.7500)  7 Tb 2.87-3.02

Size of the total moment ... 0.00 μB per cell
VASP energy ... -55.7 eV/f.u.
SG ... No. 193



no.,formation enthalpy at 0 K (eV/f.u.)
1,3.44
2,-1.59
3,0.56
4,-5.93